No. 1
# ReOsAu2

Crystalline ReOsAu2 at its relaxed geometry (GGA-PBEsol, Alexandria).

a b c (Å): 3.0066 4.5273 4.5273
angles (deg): 90.00 90.00 90.00
Sites, in units of the cell vectors:
Au (0.0000, 0.0000, 0.5000)
Au (0.0000, 0.5000, 0.0000)
Os (0.5000, 0.5000, 0.5000)
Re (0.5000, 0.0000, 0.0000)

Values from the calculation:
ΔH_f (0 K)	0.85	eV/atom
symmetry	P4/mmm (123)
energy relative to the lowest polymorph listed for this composition	309	meV/atom
crystal system	tetragonal

***

No. 2
# BaSb2Br

Crystalline BaSb2Br at its relaxed geometry (GGA-PBEsol, Alexandria).

a b c (Å): 4.0236 4.0240 8.0016
angles (deg): 90.04 90.00 90.00
Sites, in units of the cell vectors:
Sb (0.0000, 0.0015, 0.0660)
Sb (0.5000, 0.5017, 0.2042)
Ba (0.0000, 0.9983, 0.5191)
Br (0.5000, 0.4986, 0.7106)

Values from the calculation:
symmetry	Pm (6)
energy relative to the lowest polymorph listed for this composition	0	meV/atom
formation energy (no corrections)	-908	meV per atom
crystal system	monoclinic

***

No. 3
# CrNi3

Crystalline CrNi3 at its relaxed geometry (GGA-PBEsol, Alexandria).

a b c (Å): 4.3961 4.3961 4.3961
angles (deg): 90.00 90.00 90.00
Sites, in units of the cell vectors:
Cr (0.0000, 0.0000, 0.0000)
Cr (0.5000, 0.5000, 0.5000)
Ni (0.0000, 0.2500, 0.5000)
Ni (0.0000, 0.7500, 0.5000)
Ni (0.2500, 0.5000, 0.0000)
Ni (0.5000, 0.0000, 0.2500)
Ni (0.5000, 0.0000, 0.7500)
Ni (0.7500, 0.5000, 0.0000)

Values from the calculation:
ΔH_f (0 K)	0.07	eV/atom
symmetry	Pm-3n (223)
crystal system	cubic

***

No. 4
# KMgCr2

Crystalline KMgCr2 at its relaxed geometry (GGA-PBEsol, Alexandria).

a b c (Å): 3.2054 5.5059 5.5059
angles (deg): 90.00 90.00 90.00
Site moments in Bohr magnetons follow the coordinates.
Sites, in units of the cell vectors:
Cr (0.0000, 0.0000, 0.5000)  4.02
Cr (0.0000, 0.5000, 0.0000)  4.02
K (0.5000, 0.5000, 0.5000)  0.07
Mg (0.5000, 0.0000, 0.0000)  -0.02

Values from the calculation:
ΔH_f (0 K)	1.29	eV/atom
symmetry	P4/mmm (123)
crystal system	tetragonal

***

No. 5
# ZrSc2Be

Crystalline ZrSc2Be at its relaxed geometry (GGA-PBEsol, Alexandria).

a b c (Å): 3.1781 4.2620 5.7854
angles (deg): 90.00 99.16 90.00
Sites, in units of the cell vectors:
Sc (0.9211, 0.0000, 0.7330)
Sc (0.0789, 0.0000, 0.2670)
Be (0.5000, 0.5000, 0.5000)
Zr (0.5000, 0.5000, 0.0000)

Values from the calculation:
ΔH_f (0 K)	0.17	eV/atom
symmetry	P2/m (10)
crystal system	monoclinic

***

No. 6
# NbCrCu2

Crystalline NbCrCu2 at its relaxed geometry (GGA-PBEsol, Alexandria).

a b c (Å): 4.2666 4.2666 4.2666
angles (deg): 60.00 60.00 60.00
Site moments in Bohr magnetons follow the coordinates.
Sites, in units of the cell vectors:
Cr (0.0000, 0.0000, 0.0000)  2.93
Nb (0.5000, 0.5000, 0.5000)  -0.10
Cu (0.2500, 0.2500, 0.2500)  0.07
Cu (0.7500, 0.7500, 0.7500)  0.07

Values from the calculation:
ΔH_f (0 K)	0.37	eV/atom
symmetry	Fm-3m (225)
crystal system	cubic

***

No. 7
# YAlH3

Crystalline YAlH3 at its relaxed geometry (GGA-PBEsol, Alexandria).

a b c (Å): 3.7183 3.7183 3.7183
angles (deg): 90.00 90.00 90.00
Sites, in units of the cell vectors:
Y (0.5000, 0.5000, 0.5000)
H (0.0000, 0.5000, 0.0000)
H (0.0000, 0.0000, 0.5000)
H (0.5000, 0.0000, 0.0000)
Al (0.0000, 0.0000, 0.0000)

Values from the calculation:
symmetry	Pm-3m (221)
crystal system	cubic
total energy	-20.8	eV/cell

***

No. 8
# ZnMoN2

Crystalline ZnMoN2 at its relaxed geometry (GGA-PBEsol, Alexandria).

a b c (Å): 2.9176 2.9176 6.4046
angles (deg): 76.83 76.83 60.00
Sites, in units of the cell vectors:
Mo (0.5000, 0.5000, 0.5000)
Zn (0.0000, 0.0000, 0.0000)
N (0.8986, 0.8986, 0.3043)
N (0.1014, 0.1014, 0.6957)

Values from the calculation:
symmetry	R-3m (166)
formation energy (no corrections)	-205	meV per atom
crystal system	trigonal

***

No. 9
# TbCo2

Crystalline TbCo2 at its relaxed geometry (GGA-PBEsol, Alexandria).

a b c (Å): 4.9735 4.9735 4.9735
angles (deg): 60.00 60.00 60.00
Site moments in Bohr magnetons follow the coordinates.
Sites, in units of the cell vectors:
Tb (0.7500, 0.7500, 0.7500)  0.91
Tb (0.5000, 0.5000, 0.5000)  0.91
Co (0.1250, 0.6250, 0.1250)  0.91
Co (0.1250, 0.1250, 0.6250)  0.91
Co (0.1250, 0.1250, 0.1250)  -0.25
Co (0.6250, 0.1250, 0.1250)  -0.25

Values from the calculation:
ΔH_f (0 K)	-0.19	eV/atom
symmetry	Fd-3m (227)
crystal system	cubic

***

No. 10
# SeI2OF

Crystalline SeI2OF at its relaxed geometry (GGA-PBEsol, Alexandria).

a b c (Å): 4.1114 5.5649 5.5649
angles (deg): 90.00 90.00 90.00
Site moments in Bohr magnetons follow the coordinates.
Sites, in units of the cell vectors:
I (0.0000, 0.0000, 0.5000)  0.16
I (0.0000, 0.5000, 0.0000)  0.16
O (0.5000, 0.5000, 0.5000)  1.37
Se (0.0000, 0.0000, 0.0000)  -0.05
F (0.5000, 0.0000, 0.0000)  0.00

Values from the calculation:
symmetry	P4/mmm (123)
formation energy (no corrections)	308	meV per atom
crystal system	tetragonal

***

No. 11
# KYCd2

Crystalline KYCd2 at its relaxed geometry (GGA-PBEsol, Alexandria).

a b c (Å): 3.7478 3.7470 8.3680
angles (deg): 90.00 90.02 90.00
Sites, in units of the cell vectors:
Cd (0.0002, 0.0000, 0.7024)
Cd (0.9998, 0.0000, 0.2976)
K (0.5000, 0.5000, 0.0000)
Y (0.5000, 0.5000, 0.5000)

Values from the calculation:
ΔH_f (0 K)	-0.10	eV/atom
symmetry	P4/mmm (123)
energy relative to the lowest polymorph listed for this composition	0	meV/atom
crystal system	tetragonal

***

No. 12
# Sr2IrAu

Crystalline Sr2IrAu at its relaxed geometry (GGA-PBEsol, Alexandria).

a b c (Å): 3.5969 4.9187 6.3318
angles (deg): 112.86 106.50 90.00
Sites, in units of the cell vectors:
Au (0.5403, 0.5403, 0.0806)
Ir (0.2238, 0.7238, 0.4477)
Sr (0.9693, 0.9693, 0.9387)
Sr (0.7665, 0.2665, 0.5331)

Values from the calculation:
ΔH_f (0 K)	-0.15	eV/atom
symmetry	Imm2 (44)
crystal system	orthorhombic